This record from Alexandria describes a relaxed structure of YBeW. The functional is PBE.

Cell: 6.5410 6.5410 6.5410 Å, 90.00 90.00 90.00°
Fractional positions:
Y (0.0000, 0.0000, 0.0000)
Y (0.0000, 0.5000, 0.5000)
Y (0.5000, 0.0000, 0.5000)
Y (0.5000, 0.5000, 0.0000)
Be (0.2500, 0.2500, 0.2500)
Be (0.2500, 0.7500, 0.7500)
Be (0.7500, 0.2500, 0.7500)
Be (0.7500, 0.7500, 0.2500)
W (0.2500, 0.2500, 0.7500)
W (0.2500, 0.7500, 0.2500)
W (0.7500, 0.2500, 0.2500)
W (0.7500, 0.7500, 0.7500)

Results
ΔE_f   1.852 eV per atom
Space-group type   F-43m (216)
Energy above the lowest structure with this stoichiometry   1387 meV/atom

This record from Alexandria describes a relaxed structure of CaCe2Pr3Te6. The functional is PBE.

Cell: 10.0986 10.0986 9.0895 Å, 103.18 103.18 25.66°
Fractional positions:
Ca (0.0000, 0.0000, 0.0000)
Ce (0.3308, 0.3308, 0.6631)
Ce (0.6692, 0.6692, 0.3369)
Pr (0.0000, 0.0000, 0.5000)
Pr (0.3324, 0.3324, 0.1708)
Pr (0.6676, 0.6676, 0.8292)
Te (0.1640, 0.1640, 0.0826)
Te (0.1661, 0.1661, 0.5805)
Te (0.4986, 0.4986, 0.7554)
Te (0.5014, 0.5014, 0.2446)
Te (0.8339, 0.8339, 0.4195)
Te (0.8360, 0.8360, 0.9174)

Results
Space-group type   C2/m (12)
Formation energy without anion corrections   -1.446 eV per atom

This record from Alexandria describes a relaxed structure of CrRu2Au. The functional is PBE.

Cell: 2.7853 2.7853 7.7352 Å, 90.00 90.00 90.00°
Fractional positions:
Cr (0.0000, 0.0000, 0.0000)
Ru (0.0000, 0.0000, 0.4580)
Ru (0.5000, 0.5000, 0.2338)
Au (0.5000, 0.5000, 0.7358)

Results
ΔE_f   0.250 eV per atom
Space-group type   P4mm (99)
Energy above the lowest structure with this stoichiometry   52 meV/atom

This record from Alexandria describes a relaxed structure of Na3Cd2Te4. The functional is PBE.

Cell: 4.6771 7.5119 8.9914 Å, 67.24 74.94 89.98°
Fractional positions:
Na (0.0000, 0.0000, 0.0000)
Na (0.1257, 0.5406, 0.7465)
Na (0.8743, 0.4594, 0.2535)
Cd (0.3339, 0.0155, 0.3319)
Cd (0.6661, 0.9845, 0.6681)
Te (0.2229, 0.2326, 0.5540)
Te (0.4964, 0.7190, 0.0080)
Te (0.5036, 0.2810, 0.9920)
Te (0.7771, 0.7674, 0.4460)

Results
Space-group type   P-1 (2)
Formation energy without anion corrections   -0.614 eV per atom
Energy above the lowest structure with this stoichiometry   0 meV/atom

Number 1: mass density 6.7 g cm⁻³. Number 2: mass density 6.4 g cm⁻³. Number 3: mass density 12.5 g cm⁻³. Number 4: mass density 4.8 g cm⁻³.